(1)
DFT (PBE) results for an optimized crystal structure of Cd3Pt.

As for the formation energy: -0.156 eV/atom. The value obtained for the total magnetization is 0.000 μB per formula unit.

Cell: 6.7514 6.7514 6.7514 Å, 90.00 90.00 90.00°
Space group Fm-3m (No. 225)
Inequivalent atoms, fractional coordinates:
Cd1 0.0000 0.0000 0.0000 (multiplicity 4)
Cd2 0.2500 0.2500 0.2500 (multiplicity 8)
Pt1 0.0000 0.0000 0.5000 (multiplicity 4)

(2)
DFT (PBE) results for an optimized crystal structure of LiYZn5Cu2.

As for the formation energy: -0.057 eV/atom. The value obtained for the total magnetization is 0.000 μB per formula unit.

Cell: 4.6055 4.6055 7.3107 Å, 90.00 90.00 90.00°
Space group P4/mmm (No. 123)
Inequivalent atoms, fractional coordinates:
Li1 0.0000 0.0000 0.0000 (multiplicity 1)
Y1 0.0000 0.0000 0.5000 (multiplicity 1)
Zn1 0.0000 0.5000 0.2349 (multiplicity 4)
Zn2 0.5000 0.5000 0.5000 (multiplicity 1)
Cu1 0.5000 0.5000 0.1599 (multiplicity 2)

(3)
DFT (PBE) results for an optimized crystal structure of IrWCl2.

The value obtained for the energy above the most stable polymorph in this dataset is 5.24 eV per formula unit. The value obtained for the total magnetization is 1.318 μB per formula unit.

Cell: 2.8708 2.8708 8.8761 Å, 90.00 90.00 90.00°
Space group P4/mmm (No. 123)
Inequivalent atoms, fractional coordinates:
Ir1 0.0000 0.0000 0.0000 (multiplicity 1)
W1 0.0000 0.0000 0.5000 (multiplicity 1)
Cl1 0.5000 0.5000 0.3248 (multiplicity 2)

(4)
DFT (PBE) results for an optimized crystal structure of ScSn2Rh3.

As for the formation energy: -0.712 eV/atom. The value obtained for the total magnetization is 0.000 μB per formula unit.

Cell: 4.6043 4.6043 5.5800 Å, 90.00 90.00 120.00°
Space group P-3m1 (No. 164)
Inequivalent atoms, fractional coordinates:
Sc1 0.0000 0.0000 0.0000 (multiplicity 1)
Sn1 0.3333 0.6667 0.6971 (multiplicity 2)
Rh1 0.0000 0.0000 0.5000 (multiplicity 1)
Rh2 0.3333 0.6667 0.2090 (multiplicity 2)